Compound: YMgTl
Source: Alexandria via LeMat-Bulk
Functional: GGA-PBE
Structure: optimized geometry

```
3
Lattice="-4.326 -2.235 0.837 2.834 -1.441 -3.781 1.673 -2.423 2.177" Properties=species:S:1:pos:R:3 pbc="T T T"
Tl -1.662 -2.371 -0.342
Y 1.563 -3.322 -0.790
Mg 0.280 -0.406 0.364
```

Output
* space-group type: P-6m2
* total DFT energy (no corrections): -3.743 eV/atom
* M_tot: 0.0 Bohr magnetons per cell



Compound: Zr2SiPb
Source: Alexandria via LeMat-Bulk
Functional: GGA-PBE
Structure: optimized geometry

```
4
Lattice="5.200 -0.010 0.000 -1.325 5.028 0.000 0.000 0.000 3.223" Properties=species:S:1:pos:R:3 pbc="T T T"
Si -0.663 2.514 1.612
Pb 2.600 -0.005 1.612
Zr 1.937 2.509 0.000
Zr 0.000 0.000 0.000
```

Output
* space-group type: Cmmm
* total DFT energy (no corrections): -6.730 eV/atom
* M_tot: 0.0 Bohr magnetons per cell



Compound: Y2TaAu
Source: Alexandria via LeMat-Bulk
Functional: GGA-PBE
Structure: optimized geometry

```
4
Lattice="4.718 0.000 0.000 0.000 3.549 0.014 0.000 1.753 5.832" Properties=species:S:1:pos:R:3 pbc="T T T"
Ta 2.359 3.314 4.440
Y 0.000 5.082 5.496
Au 0.000 3.313 2.858
Y 2.359 1.545 1.820
```

Output
* space-group type: Pm
* total DFT energy (no corrections): -7.052 eV/atom
* M_tot: 0.0 Bohr magnetons per cell



Compound: KZnCo2
Source: Alexandria via LeMat-Bulk
Functional: GGA-PBE
Structure: optimized geometry

```
8
Lattice="4.588 0.000 0.000 0.000 4.588 0.000 2.294 2.294 8.764" Properties=species:S:1:pos:R:3 pbc="T T T"
Co 4.646 1.147 2.191
K 2.294 4.588 4.382
Zn 0.000 0.000 0.000
Zn 4.588 2.294 4.382
Co 5.735 2.352 6.573
Co 3.441 2.236 6.573
K 2.294 2.294 0.000
Co 4.530 3.441 2.191
```

Output
* space-group type: I-42d
* total DFT energy (no corrections): -3.367 eV/atom
* M_tot: 5.9 Bohr magnetons per cell